(1)
BaFe4Co: optimized geometry, GGA-PBE.

Space group: No. 216
Final energy, eV per cell: -39.0
Calculated formation energy, eV per atom: 0.649

```
BaFe4Co
1.0
0.0000 3.6380 3.6380
3.6380 0.0000 3.6380
3.6380 3.6380 0.0000
Ba Fe Co
1 4 1
direct
0.0000 0.0000 0.0000
0.3775 0.3775 0.3775
0.3775 0.3775 0.8674
0.3775 0.8674 0.3775
0.8674 0.3775 0.3775
0.7500 0.7500 0.7500
```


(2)
BaFeCo2: optimized geometry, GGA-PBE.

Space group: No. 99
Final energy, eV per cell: -22.3
Calculated formation energy, eV per atom: 0.565

```
BaFeCo2
1.0
3.1682 0.0000 0.0000
0.0000 3.1682 0.0000
0.0000 0.0000 7.3933
Ba Fe Co
1 1 2
direct
0.0000 0.0000 0.0000
0.5000 0.5000 0.6434
0.0000 0.0000 0.4876
0.5000 0.5000 0.3396
```


(3)
BaFeCo2: optimized geometry, GGA-PBE.

Space group: No. 12
Final energy, eV per cell: -20.3
Calculated formation energy, eV per atom: 1.080

```
BaFeCo2
1.0
2.8565 -4.2715 0.0000
2.8565 4.2715 0.0000
-1.0623 0.0000 2.8699
Ba Fe Co
1 1 2
direct
0.0000 0.0000 0.0000
0.5000 0.5000 0.0000
0.0000 0.5000 0.5000
0.5000 0.0000 0.5000
```


(4)
BaFeCo2: optimized geometry, GGA-PBE.

Space group: No. 71
Final energy, eV per cell: -21.1
Calculated formation energy, eV per atom: 0.885

```
BaFeCo2
1.0
-1.5769 2.6786 4.4921
1.5769 -2.6786 4.4921
1.5769 2.6786 -4.4921
Ba Fe Co
1 1 2
direct
0.0000 0.0000 0.0000
0.5000 0.5000 0.0000
0.2992 0.7992 0.5000
0.7008 0.2008 0.5000
```


(5)
Ba2FeCo: optimized geometry, GGA-PBE.

Space group: No. 38
Final energy, eV per cell: -17.7
Calculated formation energy, eV per atom: 0.430

```
Ba2FeCo
1.0
4.0798 0.0000 0.0000
0.0000 2.3788 6.3997
0.0000 -2.3788 6.3997
Ba Fe Co
2 1 1
direct
0.0000 0.0000 0.0000
0.5000 0.2713 0.2713
0.5000 0.5940 0.5940
0.0000 0.6788 0.6788
```


(6)
Ba2FeCo: optimized geometry, GGA-PBE.

Space group: No. 122
Final energy, eV per cell: -34.3
Calculated formation energy, eV per atom: 0.565

```
Ba2FeCo
1.0
-5.8455 5.8455 2.2317
5.8455 -5.8455 2.2317
5.8455 5.8455 -2.2317
Ba Fe Co
4 2 2
direct
0.3750 0.0598 0.1848
0.8098 0.6250 0.6848
0.8750 0.1902 0.8152
0.9402 0.1250 0.3152
0.2500 0.7500 0.5000
0.5000 0.5000 0.0000
0.0000 0.0000 0.0000
0.7500 0.2500 0.5000
```


(7)
BaFeCo2: optimized geometry, GGA-PBE.

Space group: No. 123
Final energy, eV per cell: -22.4
Calculated formation energy, eV per atom: 0.538

```
BaFeCo2
1.0
3.1555 0.0000 0.0000
0.0000 3.1555 0.0000
0.0000 0.0000 7.3326
Ba Fe Co
1 1 2
direct
0.0000 0.0000 0.0000
0.0000 0.0000 0.5000
0.5000 0.5000 0.3431
0.5000 0.5000 0.6569
```


(8)
Ba2FeCo: optimized geometry, GGA-PBE.

Space group: No. 12
Final energy, eV per cell: -15.5
Calculated formation energy, eV per atom: 0.989

```
Ba2FeCo
1.0
4.1840 -1.8424 0.0000
4.1840 1.8424 0.0000
-1.5378 0.0000 8.2347
Ba Fe Co
2 1 1
direct
0.2425 0.2425 0.2337
0.7575 0.7575 0.7663
0.0000 0.0000 0.5000
0.5000 0.5000 0.0000
```


(9)
Ba2FeCo: optimized geometry, GGA-PBE.

Space group: No. 44
Final energy, eV per cell: -17.6
Calculated formation energy, eV per atom: 0.454

```
Ba2FeCo
1.0
-2.0716 2.2444 7.5873
2.0716 -2.2444 7.5873
2.0716 2.2444 -7.5873
Ba Fe Co
2 1 1
direct
0.0000 0.0000 0.0000
0.7548 0.2548 0.5000
0.4068 0.4068 0.0000
0.3535 0.8535 0.5000
```


(10)
BaFeCo2: optimized geometry, GGA-PBE.

Space group: No. 216
Final energy, eV per cell: -20.3
Calculated formation energy, eV per atom: 1.076

```
BaFeCo2
1.0
0.0000 3.2688 3.2688
3.2688 0.0000 3.2688
3.2688 3.2688 0.0000
Ba Fe Co
1 1 2
direct
0.0000 0.0000 0.0000
0.2500 0.2500 0.2500
0.5000 0.5000 0.5000
0.7500 0.7500 0.7500
```


(11)
BaFeCo2: optimized geometry, GGA-PBE.

Space group: No. 166
Final energy, eV per cell: -23.6
Calculated formation energy, eV per atom: 0.261

```
BaFeCo2
1.0
2.0442 1.1802 5.6798
-2.0442 1.1802 5.6798
0.0000 -2.3604 5.6798
Ba Fe Co
1 1 2
direct
0.0000 0.0000 0.0000
0.5000 0.5000 0.5000
0.1851 0.1851 0.1851
0.8149 0.8149 0.8149
```


(12)
BaFeCo3: optimized geometry, GGA-PBE.

Space group: No. 221
Final energy, eV per cell: -17.7
Calculated formation energy, eV per atom: 2.797

```
BaFeCo3
1.0
4.7592 0.0000 0.0000
0.0000 4.7592 0.0000
0.0000 0.0000 4.7592
Ba Fe Co
1 1 3
direct
0.0000 0.0000 0.0000
0.5000 0.5000 0.5000
0.0000 0.0000 0.5000
0.0000 0.5000 0.0000
0.5000 0.0000 0.0000
```